[1]
# P2IrCl

P2IrCl after structural relaxation (PBE, Alexandria via LeMat-Bulk).

It has space group P2/m (No. 10), with a = 4.6235 Å, b = 3.6524 Å, c = 4.7646 Å, α = 90.00°, β = 115.84° and γ = 90.00°. The distinct sites, in fractional coordinates, are P at (0.1305, 0.0000, 0.3477), Ir at (0.5000, 0.5000, 0.5000) and Cl at (0.5000, 0.5000, 0.0000).

The relative energy among the computed polymorphs comes out at 0.247 eV per atom. The calculation puts the uncorrected formation energy at -0.1 eV/f.u. Its total magnetization is 0.0 μB per cell. For the total energy, the calculation gives -21.67 eV for the cell shown.


[2]
# PIr2Cl

PIr2Cl after structural relaxation (PBE, Alexandria via LeMat-Bulk).

It has space group Imm2 (No. 44), with a = 2.8085 Å, b = 4.0447 Å, c = 10.8516 Å, α = 90.00°, β = 90.00° and γ = 90.00°. The distinct sites, in fractional coordinates, are P at (0.0000, 0.0000, 0.0000), Ir at (0.0000, 0.0000, 0.5669), Ir at (0.0000, 0.5000, 0.3092) and Cl at (0.0000, 0.5000, 0.7868).

The relative energy among the computed polymorphs comes out at 0.549 eV per atom. The calculation puts the uncorrected formation energy at 2.0 eV/f.u. Its total magnetization is 0.0 μB per cell. For the total energy, the calculation gives -45.94 eV for the cell shown.


[3]
# PIr2Cl

PIr2Cl after structural relaxation (PBE, Alexandria via LeMat-Bulk).

It has space group I-4m2 (No. 119), with a = 3.5488 Å, b = 3.5488 Å, c = 9.5549 Å, α = 90.00°, β = 90.00° and γ = 90.00°. The distinct sites, in fractional coordinates, are P at (0.0000, 0.0000, 0.0000), Ir at (0.0000, 0.0000, 0.5000), Ir at (0.0000, 0.5000, 0.2500) and Cl at (0.0000, 0.5000, 0.7500).

The relative energy among the computed polymorphs comes out at 0.902 eV per atom. The calculation puts the uncorrected formation energy at 3.4 eV/f.u. Its total magnetization is 0.0 μB per cell. For the total energy, the calculation gives -43.12 eV for the cell shown.


[4]
# P2IrCl

P2IrCl after structural relaxation (PBE, Alexandria via LeMat-Bulk).

It has space group Imm2 (No. 44), with a = 3.3132 Å, b = 3.7154 Å, c = 13.0437 Å, α = 90.00°, β = 90.00° and γ = 90.00°. The distinct sites, in fractional coordinates, are P at (0.0000, 0.0000, 0.0000), P at (0.0000, 0.5000, 0.1001), Ir at (0.0000, 0.0000, 0.4633) and Cl at (0.0000, 0.5000, 0.8091).

The relative energy among the computed polymorphs comes out at 0.312 eV per atom. The calculation puts the uncorrected formation energy at 0.1 eV/f.u. Its total magnetization is 0.0 μB per cell. For the total energy, the calculation gives -42.83 eV for the cell shown.


[5]
# P2IrCl

P2IrCl after structural relaxation (PBE, Alexandria via LeMat-Bulk).

It has space group P4/mmm (No. 123), with a = 4.6186 Å, b = 4.6186 Å, c = 2.8196 Å, α = 90.00°, β = 90.00° and γ = 90.00°. The distinct sites, in fractional coordinates, are P at (0.0000, 0.5000, 0.0000), Ir at (0.0000, 0.0000, 0.5000) and Cl at (0.5000, 0.5000, 0.5000).

The relative energy among the computed polymorphs comes out at 1.012 eV per atom. The calculation puts the uncorrected formation energy at 2.9 eV/f.u. Its total magnetization is 0.0 μB per cell. For the total energy, the calculation gives -18.61 eV for the cell shown.


[6]
# PIr2Cl

PIr2Cl after structural relaxation (PBE, Alexandria via LeMat-Bulk).

It has space group Pmmm (No. 47), with a = 2.8249 Å, b = 4.1184 Å, c = 5.2578 Å, α = 90.00°, β = 90.00° and γ = 90.00°. The distinct sites, in fractional coordinates, are P at (0.0000, 0.0000, 0.0000), Ir at (0.0000, 0.5000, 0.5000), Ir at (0.5000, 0.5000, 0.0000) and Cl at (0.5000, 0.0000, 0.5000).

The relative energy among the computed polymorphs comes out at 0.742 eV per atom. The calculation puts the uncorrected formation energy at 2.8 eV/f.u. Its total magnetization is 0.0 μB per cell. For the total energy, the calculation gives -22.20 eV for the cell shown.


What is the relative energy among the computed polymorphs in the sixth record?
0.742 eV per atom


Which of these has the lowest relative energy among the computed polymorphs?
number 1


relative energy among the computed polymorphs of number 2 (PIr2Cl)?
0.549 eV per atom


Which of these has the lowest relative energy among the computed polymorphs?
number 1